No. 1
DFT (PBE) results for an optimized crystal structure of NaTlOsW.

Results
* space group: No. 216
* total moment: 0.0 μB per formula unit
* E above lowest polymorph: 0 meV/atom
* density: 14.60 Mg/m³

```
NaTlOsW
1.0
0.0000 3.2457 3.2457
3.2457 0.0000 3.2457
3.2457 3.2457 0.0000
Na Tl Os W
1 1 1 1
Cartesian
0.0000 0.0000 0.0000 Na
1.6229 1.6229 1.6229 Tl
3.2457 3.2457 3.2457 Os
4.8686 4.8686 4.8686 W
```

No. 2
DFT (PBE) results for an optimized crystal structure of NaUOs.

Results
* space group: No. 216
* total moment: 1.9 μB per formula unit
* E above lowest polymorph: 208 meV/atom
* density: 11.94 Mg/m³

```
NaUOs
1.0
0.0000 3.1542 3.1542
3.1542 0.0000 3.1542
3.1542 3.1542 0.0000
Na U Os
1 1 1
Cartesian
0.0000 0.0000 0.0000 Na
1.5771 1.5771 1.5771 U
4.7313 4.7313 4.7313 Os
```

No. 3
DFT (PBE) results for an optimized crystal structure of NaUOs.

Results
* space group: No. 216
* total moment: 2.1 μB per formula unit
* E above lowest polymorph: 0 meV/atom
* density: 10.92 Mg/m³

```
NaUOs
1.0
0.0000 3.2494 3.2494
3.2494 0.0000 3.2494
3.2494 3.2494 0.0000
Na U Os
1 1 1
Cartesian
0.0000 0.0000 0.0000 Na
1.6247 1.6247 1.6247 U
3.2494 3.2494 3.2494 Os
```

No. 4
DFT (PBE) results for an optimized crystal structure of NaOsW.

Results
* space group: No. 216
* total moment: 0.0 μB per formula unit
* E above lowest polymorph: 0 meV/atom
* density: 11.75 Mg/m³

```
NaOsW
1.0
0.0000 3.0383 3.0383
3.0383 0.0000 3.0383
3.0383 3.0383 0.0000
Na Os W
1 1 1
Cartesian
0.0000 0.0000 0.0000 Na
1.5192 1.5192 1.5192 Os
3.0383 3.0383 3.0383 W
```

No. 5
DFT (PBE) results for an optimized crystal structure of Na2OsW4.

Results
* space group: No. 139
* total moment: 0.0 μB per formula unit
* final energy: -8.058 eV per atom
* density: 13.13 Mg/m³

```
Na2OsW4
1.0
-3.7527 3.7527 2.1806
3.7527 -3.7527 2.1806
3.7527 3.7527 -2.1806
Na Os W
2 1 4
Cartesian
3.7527 0.0000 1.0903 Na
0.0000 3.7527 1.0903 Na
0.0000 0.0000 0.0000 Os
2.4547 2.4547 0.0000 W
1.2980 -1.2980 2.1806 W
-1.2980 1.2980 2.1806 W
1.2980 1.2980 2.1806 W
```

No. 6
DFT (PBE) results for an optimized crystal structure of NaYOsW.

Results
* space group: No. 216
* total moment: 2.5 μB per formula unit
* E above lowest polymorph: 676 meV/atom
* density: 10.34 Mg/m³

```
NaYOsW
1.0
0.0000 3.3913 3.3913
3.3913 0.0000 3.3913
3.3913 3.3913 0.0000
Na Y Os W
1 1 1 1
Cartesian
0.0000 0.0000 0.0000 Na
3.3913 3.3913 3.3913 Y
5.0870 5.0870 5.0870 Os
1.6957 1.6957 1.6957 W
```

No. 7
DFT (PBE) results for an optimized crystal structure of NaYOsW.

Results
* space group: No. 216
* total moment: 0.0 μB per formula unit
* E above lowest polymorph: 0 meV/atom
* density: 10.91 Mg/m³

```
NaYOsW
1.0
0.0000 3.3318 3.3318
3.3318 0.0000 3.3318
3.3318 3.3318 0.0000
Na Y Os W
1 1 1 1
Cartesian
0.0000 0.0000 0.0000 Na
4.9977 4.9977 4.9977 Y
3.3318 3.3318 3.3318 Os
1.6659 1.6659 1.6659 W
```

No. 8
DFT (PBE) results for an optimized crystal structure of NaYOsW.

Results
* space group: No. 216
* total moment: 0.0 μB per formula unit
* E above lowest polymorph: 92 meV/atom
* density: 11.05 Mg/m³

```
NaYOsW
1.0
0.0000 3.3180 3.3180
3.3180 0.0000 3.3180
3.3180 3.3180 0.0000
Na Y Os W
1 1 1 1
Cartesian
0.0000 0.0000 0.0000 Na
4.9770 4.9770 4.9770 Y
1.6590 1.6590 1.6590 Os
3.3180 3.3180 3.3180 W
```

No. 9
DFT (PBE) results for an optimized crystal structure of NaYOs.

Results
* space group: No. 216
* total moment: 0.0 μB per formula unit
* E above lowest polymorph: 0 meV/atom
* density: 6.86 Mg/m³

```
NaYOs
1.0
0.0000 3.3197 3.3197
3.3197 0.0000 3.3197
3.3197 3.3197 0.0000
Na Y Os
1 1 1
Cartesian
0.0000 0.0000 0.0000 Na
3.3197 3.3197 3.3197 Y
1.6598 1.6598 1.6598 Os
```

No. 10
DFT (PBE) results for an optimized crystal structure of NaYOs.

Results
* space group: No. 216
* total moment: 0.1 μB per formula unit
* E above lowest polymorph: 322 meV/atom
* density: 6.87 Mg/m³

```
NaYOs
1.0
0.0000 3.3175 3.3175
3.3175 0.0000 3.3175
3.3175 3.3175 0.0000
Na Y Os
1 1 1
Cartesian
0.0000 0.0000 0.0000 Na
1.6587 1.6587 1.6587 Y
3.3175 3.3175 3.3175 Os
```

No. 11
DFT (PBE) results for an optimized crystal structure of NaZnOs.

Results
* space group: No. 216
* total moment: 2.0 μB per formula unit
* final energy: -2.815 eV per atom
* density: 7.88 Mg/m³

```
NaZnOs
1.0
0.0000 3.0855 3.0855
3.0855 0.0000 3.0855
3.0855 3.0855 0.0000
Na Zn Os
1 1 1
Cartesian
0.0000 0.0000 0.0000 Na
1.5428 1.5428 1.5428 Zn
4.6283 4.6283 4.6283 Os
```

No. 12
DFT (PBE) results for an optimized crystal structure of NaP2Pd4.

Results
* space group: No. 65
* final energy: -5.201 eV per atom
* density: 7.53 Mg/m³

```
NaP2Pd4
1.0
2.0877 -6.4774 0.0000
2.0877 6.4774 0.0000
0.0000 0.0000 4.1658
Na P Pd
1 2 4
Cartesian
0.0000 0.0000 0.0000 Na
2.0877 1.1269 2.0829 P
2.0877 -1.1269 2.0829 P
2.0877 4.2347 2.0829 Pd
2.0877 2.2030 0.0000 Pd
2.0877 -2.2030 0.0000 Pd
2.0877 -4.2347 2.0829 Pd
```